PBE BaMgBe, relaxed; D(E_F) = 4.395 states/eV/f.u.; total moment = 0.201 μB per atom; raw total energy = -1.6631 eV/atom; ΔE_f = 0.751 eV/atom; energy above the lowest structure with this stoichiometry = 567 meV per atom
1.0
5.207 0.000 0.000
2.603 4.509 0.000
2.603 1.503 4.251
Be Mg Ba
1 1 1
Direct
0.500 0.500 0.500
0.750 0.750 0.750
0.000 0.000 0.000